# 1
Material: Zn6Ni7
Method: DFT, PBE
State: optimized geometry

Cell: 8.6393 8.6393 8.6393 Å, 32.42 32.42 32.42°
With the nearest neighbours (Å) after each atom.
Positions (direct):
1 Zn 0.1562 0.1562 0.1562  4 Zn 2.56-2.83, 6 Ni 2.60-2.80
2 Ni 0.5000 0.5000 0.5000  6 Ni 2.40
3 Ni 0.4112 0.9156 0.4112  5 Ni 2.39-2.43, 5 Zn 2.55-2.60
4 Ni 0.9156 0.4112 0.4112  5 Ni 2.39-2.43, 5 Zn 2.55-2.60
5 Ni 0.4112 0.4112 0.9156  5 Ni 2.39-2.43, 5 Zn 2.55-2.60
6 Ni 0.5888 0.5888 0.0844  5 Ni 2.39-2.43, 5 Zn 2.55-2.60
7 Zn 0.8438 0.8438 0.8438  4 Zn 2.56-2.83, 6 Ni 2.60-2.80
8 Zn 0.0520 0.0520 0.0520  2 Zn 2.55-2.56, 6 Ni 2.56
9 Ni 0.5888 0.0844 0.5888  5 Ni 2.39-2.43, 5 Zn 2.55-2.60
10 Zn 0.6658 0.6658 0.6658  6 Ni 2.55-2.57, 3 Zn 2.78
11 Zn 0.9480 0.9480 0.9480  2 Zn 2.55-2.56, 6 Ni 2.56
12 Zn 0.3342 0.3342 0.3342  6 Ni 2.55-2.57, 3 Zn 2.78
13 Ni 0.0844 0.5888 0.5888  5 Ni 2.39-2.43, 5 Zn 2.55-2.60

Summary:
Total magnetic moment   0.000 μB/f.u.
ΔH_f (0 K)   -127 kJ/mol of formula units
SG   R-3m

***

# 2
Material: Zn3Ni
Method: DFT, PBE
State: optimized geometry

Cell: 5.3548 5.3548 4.1640 Å, 90.00 90.00 90.51°
With the nearest neighbours (Å) after each atom.
Positions (direct):
1 Ni 0.4047 0.4047 0.7500  7 Zn 2.37-2.56, 2 Ni 2.53
2 Zn 0.8636 0.5255 0.7500  3 Ni 2.54-2.56, 4 Zn 2.56-2.64
3 Zn 0.1364 0.4745 0.2500  3 Ni 2.54-2.56, 4 Zn 2.56-2.64
4 Zn 0.0908 0.0908 0.7500  1 Ni 2.37, 4 Zn 2.49-2.64
5 Zn 0.9092 0.9092 0.2500  1 Ni 2.37, 4 Zn 2.49-2.64
6 Zn 0.4745 0.1364 0.2500  3 Ni 2.54-2.56, 4 Zn 2.56-2.64
7 Ni 0.5953 0.5953 0.2500  7 Zn 2.37-2.56, 2 Ni 2.53
8 Zn 0.5255 0.8636 0.7500  3 Ni 2.54-2.56, 4 Zn 2.56-2.64

Summary:
Total magnetic moment   0.000 μB/f.u.
ΔH_f (0 K)   1 kJ/mol of formula units
SG   Cmcm